Record 1
Entry from the Open Quantum Materials Database: crystalline SrMgNb at its relaxed geometry (PBE-GGA).

POSCAR file:
```
SrMgNb
1.0
1.624 0.938 16.685
-1.624 0.938 16.685
0.000 -1.875 16.685
Sr Mg Nb
2 2 2
Cartesian
0.000 0.000 6.492
0.000 0.000 43.563
0.000 0.000 15.361
0.000 0.000 34.693
0.000 0.000 20.417
0.000 0.000 29.638
```

Its total magnetic moment is 0.001 μB per atom. Its total DFT energy (no corrections) is -3.753 eV per atom.

Record 2
Entry from the Open Quantum Materials Database: crystalline Ho2ErCu4Sn4 at its relaxed geometry (PBE-GGA).

POSCAR file:
```
Ho2ErCu4Sn4
1.0
-2.226 3.464 7.325
2.226 -3.464 7.325
2.226 3.464 -7.325
Ho Er Cu Sn
2 1 4 4
Cartesian
0.000 0.000 1.909
0.000 0.000 12.741
0.000 3.464 0.000
2.226 2.155 -2.516
2.226 2.155 2.516
0.000 1.308 4.809
0.000 1.308 9.840
2.226 1.416 0.000
2.226 0.000 4.161
0.000 3.464 3.164
0.000 2.048 7.325
```

Its total magnetic moment is 0.000 μB per atom. Its total DFT energy (no corrections) is -4.554 eV per atom.

Record 3
Entry from the Open Quantum Materials Database: crystalline RbZrCuTeSe2 at its relaxed geometry (PBE-GGA).

POSCAR file:
```
RbZrCuTeSe2
1.0
8.985 0.000 0.000
0.000 4.011 0.000
-4.089 0.000 9.314
Rb Zr Cu Te Se
2 2 2 2 4
Cartesian
1.227 1.003 1.953
3.670 3.008 7.361
-1.082 3.008 6.223
5.979 1.003 3.090
0.039 1.003 8.383
4.858 3.008 0.931
1.009 1.003 5.957
3.888 3.008 3.357
-1.177 3.008 3.387
-1.385 3.008 8.847
6.281 1.003 0.467
6.074 1.003 5.927
```

Its total magnetic moment is 0.000 μB per atom. Its total DFT energy (no corrections) is -4.896 eV per atom.